# 1
Density functional theory data (GGA-PBE) for a relaxed LiMg2Tc crystal.

Cell and atoms, written as CIF:
```
data_LiMg2Tc
_chemical_formula_sum 'Li1 Mg2 Tc1'
_symmetry_space_group_name_H-M 'P 4/m m m'
_symmetry_Int_Tables_number 123
_symmetry_space_group_name_Hall '-P 4 2'
_cell_length_a 2.784
_cell_length_b 2.784
_cell_length_c 9.139
_cell_angle_alpha 90.00
_cell_angle_beta 90.00
_cell_angle_gamma 90.00
loop_
_atom_site_label
_atom_site_fract_x
_atom_site_fract_y
_atom_site_fract_z
Li1 0.000 0.000 0.000
Mg1 0.500 0.500 0.267
Tc1 0.000 0.000 0.500
```

Computed properties:
Offset from the most stable computed form, meV per atom: 0

---

# 2
Density functional theory data (GGA-PBE) for a relaxed Sc2PdPb crystal.

Cell and atoms, written as CIF:
```
data_Sc2PdPb
_chemical_formula_sum 'Sc2 Pd1 Pb1'
_symmetry_space_group_name_H-M 'P 4/m m m'
_symmetry_Int_Tables_number 123
_symmetry_space_group_name_Hall '-P 4 2'
_cell_length_a 3.410
_cell_length_b 3.410
_cell_length_c 7.353
_cell_angle_alpha 90.00
_cell_angle_beta 90.00
_cell_angle_gamma 90.00
loop_
_atom_site_label
_atom_site_fract_x
_atom_site_fract_y
_atom_site_fract_z
Sc1 0.000 0.000 0.214
Pd1 0.500 0.500 0.000
Pb1 0.500 0.500 0.500
```

---

# 3
Density functional theory data (GGA-PBE) for a relaxed LaPr4Y4 crystal.

Cell and atoms, written as CIF:
```
data_LaPr4Y4
_chemical_formula_sum 'La2 Pr8 Y8'
_symmetry_space_group_name_H-M 'I 4/m m m'
_symmetry_Int_Tables_number 139
_symmetry_space_group_name_Hall '-I 4 2'
_cell_length_a 10.970
_cell_length_b 10.970
_cell_length_c 5.163
_cell_angle_alpha 90.00
_cell_angle_beta 90.00
_cell_angle_gamma 90.00
loop_
_atom_site_label
_atom_site_fract_x
_atom_site_fract_y
_atom_site_fract_z
La1 0.000 0.000 0.000
Pr1 0.000 0.332 0.000
Y1 0.167 0.167 0.500
```

---

# 4
Density functional theory data (GGA-PBE) for a relaxed CeNi2Au10 crystal.

Cell and atoms, written as CIF:
```
data_CeNi2Au10
_chemical_formula_sum 'Ce4 Ni8 Au40'
_symmetry_space_group_name_H-M 'F m m m'
_symmetry_Int_Tables_number 69
_symmetry_space_group_name_Hall '-F 2 2'
_cell_length_a 5.450
_cell_length_b 12.994
_cell_length_c 13.600
_cell_angle_alpha 90.00
_cell_angle_beta 90.00
_cell_angle_gamma 90.00
loop_
_atom_site_label
_atom_site_fract_x
_atom_site_fract_y
_atom_site_fract_z
Ce1 0.000 0.000 0.000
Ni1 0.250 0.250 0.000
Au1 0.000 0.111 0.398
Au2 0.000 0.178 0.160
Au3 0.250 0.000 0.250
```

---

# 5
Density functional theory data (GGA-PBE) for a relaxed Sr2MgInPb6 crystal.

Cell and atoms, written as CIF:
```
data_Sr2MgInPb6
_chemical_formula_sum 'Sr12 Mg6 In6 Pb36'
_symmetry_space_group_name_H-M 'R -3 m'
_symmetry_Int_Tables_number 166
_symmetry_space_group_name_Hall '-R 3 2"'
_cell_length_a 6.8289
_cell_length_b 6.8289
_cell_length_c 54.2069
_cell_angle_alpha 90.00
_cell_angle_beta 90.00
_cell_angle_gamma 120.00
loop_
_atom_site_label
_atom_site_fract_x
_atom_site_fract_y
_atom_site_fract_z
Sr1 0.0000 0.0000 0.0993
Sr2 0.0000 0.0000 0.3162
Mg1 0.0000 0.0000 0.0000
Mg2 0.0000 0.0000 0.5000
In1 0.0000 0.0000 0.4192
Pb1 0.0042 0.5021 0.2915
Pb2 0.0218 0.5109 0.8723
```

---

# 6
Density functional theory data (GGA-PBE) for a relaxed Tb3ScSn2C crystal.

Cell and atoms, written as CIF:
```
data_Tb3ScSn2C
_chemical_formula_sum 'Tb6 Sc2 Sn4 C2'
_symmetry_space_group_name_H-M 'I m m m'
_symmetry_Int_Tables_number 71
_symmetry_space_group_name_Hall '-I 2 2'
_cell_length_a 4.571
_cell_length_b 4.794
_cell_length_c 15.991
_cell_angle_alpha 90.00
_cell_angle_beta 90.00
_cell_angle_gamma 90.00
loop_
_atom_site_label
_atom_site_fract_x
_atom_site_fract_y
_atom_site_fract_z
Tb1 0.000 0.000 0.000
Tb2 0.000 0.500 0.159
Sc1 0.000 0.000 0.500
Sn1 0.000 0.500 0.361
C1 0.000 0.500 0.000
```

---

# 7
Density functional theory data (GGA-PBE) for a relaxed RbSr3Hg crystal.

Cell and atoms, written as CIF:
```
data_RbSr3Hg
_chemical_formula_sum 'Rb1 Sr3 Hg1'
_symmetry_space_group_name_H-M 'P m -3 m'
_symmetry_Int_Tables_number 221
_symmetry_space_group_name_Hall '-P 4 2 3'
_cell_length_a 6.491
_cell_length_b 6.491
_cell_length_c 6.491
_cell_angle_alpha 90.00
_cell_angle_beta 90.00
_cell_angle_gamma 90.00
loop_
_atom_site_label
_atom_site_fract_x
_atom_site_fract_y
_atom_site_fract_z
Rb1 0.000 0.000 0.000
Sr1 0.000 0.500 0.500
Hg1 0.500 0.500 0.500
```

Computed properties:
Offset from the most stable computed form, meV per atom: 0

---

# 8
Density functional theory data (GGA-PBE) for a relaxed MnAgPt6 crystal.

Cell and atoms, written as CIF:
```
data_MnAgPt6
_chemical_formula_sum 'Mn1 Ag1 Pt6'
_symmetry_space_group_name_H-M 'P 4/m m m'
_symmetry_Int_Tables_number 123
_symmetry_space_group_name_Hall '-P 4 2'
_cell_length_a 3.967
_cell_length_b 3.967
_cell_length_c 7.923
_cell_angle_alpha 90.00
_cell_angle_beta 90.00
_cell_angle_gamma 90.00
loop_
_atom_site_label
_atom_site_fract_x
_atom_site_fract_y
_atom_site_fract_z
Mn1 0.000 0.000 0.000
Ag1 0.000 0.000 0.500
Pt1 0.000 0.500 0.242
Pt2 0.500 0.500 0.000
Pt3 0.500 0.500 0.500
```

---

# 9
Density functional theory data (GGA-PBE) for a relaxed BaLuMg2 crystal.

Cell and atoms, written as CIF:
```
data_BaLuMg2
_chemical_formula_sum 'Ba4 Lu4 Mg8'
_symmetry_space_group_name_H-M 'F m -3 m'
_symmetry_Int_Tables_number 225
_symmetry_space_group_name_Hall '-F 4 2 3'
_cell_length_a 8.048
_cell_length_b 8.048
_cell_length_c 8.048
_cell_angle_alpha 90.00
_cell_angle_beta 90.00
_cell_angle_gamma 90.00
loop_
_atom_site_label
_atom_site_fract_x
_atom_site_fract_y
_atom_site_fract_z
Ba1 0.000 0.000 0.000
Lu1 0.000 0.000 0.500
Mg1 0.250 0.250 0.250
```

Computed properties:
Offset from the most stable computed form, meV per atom: 79

---

# 10
Density functional theory data (GGA-PBE) for a relaxed Na2CeZnF8 crystal.

Cell and atoms, written as CIF:
```
data_Na2CeZnF8
_chemical_formula_sum 'Na2 Ce1 Zn1 F8'
_symmetry_space_group_name_H-M 'P -1'
_symmetry_Int_Tables_number 2
_symmetry_space_group_name_Hall '-P 1'
_cell_length_a 3.882
_cell_length_b 5.434
_cell_length_c 8.017
_cell_angle_alpha 86.93
_cell_angle_beta 89.90
_cell_angle_gamma 87.51
loop_
_atom_site_label
_atom_site_fract_x
_atom_site_fract_y
_atom_site_fract_z
Na1 0.005 0.032 0.220
Ce1 0.500 0.500 0.500
Zn1 0.500 0.500 0.000
F1 0.004 0.722 0.542
F2 0.108 0.731 0.029
F3 0.477 0.342 0.237
F4 0.483 0.188 0.680
```

Computed properties:
Formation energy from raw total energies, eV/atom: -3.04

---

# 11
Density functional theory data (GGA-PBE) for a relaxed CsNb3O crystal.

Cell and atoms, written as CIF:
```
data_CsNb3O
_chemical_formula_sum 'Cs1 Nb3 O1'
_symmetry_space_group_name_H-M 'P m -3 m'
_symmetry_Int_Tables_number 221
_symmetry_space_group_name_Hall '-P 4 2 3'
_cell_length_a 5.031
_cell_length_b 5.031
_cell_length_c 5.031
_cell_angle_alpha 90.00
_cell_angle_beta 90.00
_cell_angle_gamma 90.00
loop_
_atom_site_label
_atom_site_fract_x
_atom_site_fract_y
_atom_site_fract_z
Cs1 0.000 0.000 0.000
Nb1 0.000 0.000 0.500
O1 0.500 0.500 0.500
```

Computed properties:
Formation energy from raw total energies, eV/atom: 3.19
Offset from the most stable computed form, meV per atom: 2565

---

# 12
Density functional theory data (GGA-PBE) for a relaxed YSi2NiRh crystal.

Cell and atoms, written as CIF:
```
data_YSi2NiRh
_chemical_formula_sum 'Y2 Si4 Ni2 Rh2'
_symmetry_space_group_name_H-M 'I -4 m 2'
_symmetry_Int_Tables_number 119
_symmetry_space_group_name_Hall 'I -4 -2'
_cell_length_a 3.990
_cell_length_b 3.990
_cell_length_c 9.945
_cell_angle_alpha 90.00
_cell_angle_beta 90.00
_cell_angle_gamma 90.00
loop_
_atom_site_label
_atom_site_fract_x
_atom_site_fract_y
_atom_site_fract_z
Y1 0.000 0.000 0.000
Si1 0.000 0.000 0.379
Ni1 0.000 0.500 0.750
Rh1 0.000 0.500 0.250
```

Computed properties:
Formation energy from raw total energies, eV/atom: -0.96

---

# 13
Density functional theory data (GGA-PBE) for a relaxed KNbBi2P crystal.

Cell and atoms, written as CIF:
```
data_KNbBi2P
_chemical_formula_sum 'K1 Nb1 Bi2 P1'
_symmetry_space_group_name_H-M 'P 4/m m m'
_symmetry_Int_Tables_number 123
_symmetry_space_group_name_Hall '-P 4 2'
_cell_length_a 5.763
_cell_length_b 5.763
_cell_length_c 5.008
_cell_angle_alpha 90.00
_cell_angle_beta 90.00
_cell_angle_gamma 90.00
loop_
_atom_site_label
_atom_site_fract_x
_atom_site_fract_y
_atom_site_fract_z
K1 0.000 0.000 0.000
Nb1 0.000 0.000 0.500
Bi1 0.000 0.500 0.000
P1 0.500 0.500 0.500
```

---

# 14
Density functional theory data (GGA-PBE) for a relaxed In2HgMo crystal.

Cell and atoms, written as CIF:
```
data_In2HgMo
_chemical_formula_sum 'In4 Hg2 Mo2'
_symmetry_space_group_name_H-M 'C 1 2/m 1'
_symmetry_Int_Tables_number 12
_symmetry_space_group_name_Hall '-C 2y'
_cell_length_a 10.516
_cell_length_b 2.974
_cell_length_c 5.379
_cell_angle_alpha 90.00
_cell_angle_beta 97.62
_cell_angle_gamma 90.00
loop_
_atom_site_label
_atom_site_fract_x
_atom_site_fract_y
_atom_site_fract_z
In1 0.232 0.000 0.235
Hg1 0.000 0.000 0.500
Mo1 0.000 0.500 0.000
```

---

# 15
Density functional theory data (GGA-PBE) for a relaxed CeZn2Ir4 crystal.

Cell and atoms, written as CIF:
```
data_CeZn2Ir4
_chemical_formula_sum 'Ce2 Zn4 Ir8'
_symmetry_space_group_name_H-M 'I m m m'
_symmetry_Int_Tables_number 71
_symmetry_space_group_name_Hall '-I 2 2'
_cell_length_a 5.202
_cell_length_b 6.623
_cell_length_c 6.711
_cell_angle_alpha 90.00
_cell_angle_beta 90.00
_cell_angle_gamma 90.00
loop_
_atom_site_label
_atom_site_fract_x
_atom_site_fract_y
_atom_site_fract_z
Ce1 0.000 0.000 0.000
Zn1 0.249 0.500 0.000
Ir1 0.000 0.301 0.301
```

---

# 16
Density functional theory data (GGA-PBE) for a relaxed Mg2PaSn crystal.

Cell and atoms, written as CIF:
```
data_Mg2PaSn
_chemical_formula_sum 'Mg2 Pa1 Sn1'
_symmetry_space_group_name_H-M 'P 4/m m m'
_symmetry_Int_Tables_number 123
_symmetry_space_group_name_Hall '-P 4 2'
_cell_length_a 4.496
_cell_length_b 4.496
_cell_length_c 4.832
_cell_angle_alpha 90.00
_cell_angle_beta 90.00
_cell_angle_gamma 90.00
loop_
_atom_site_label
_atom_site_fract_x
_atom_site_fract_y
_atom_site_fract_z
Mg1 0.000 0.500 0.000
Pa1 0.000 0.000 0.500
Sn1 0.500 0.500 0.500
```

Computed properties:
Offset from the most stable computed form, meV per atom: 0

---

# 17
Density functional theory data (GGA-PBE) for a relaxed VCuW crystal.

Cell and atoms, written as CIF:
```
data_VCuW
_chemical_formula_sum 'V8 Cu8 W8'
_symmetry_space_group_name_H-M 'F m m m'
_symmetry_Int_Tables_number 69
_symmetry_space_group_name_Hall '-F 2 2'
_cell_length_a 4.989
_cell_length_b 7.228
_cell_length_c 10.272
_cell_angle_alpha 90.00
_cell_angle_beta 90.00
_cell_angle_gamma 90.00
loop_
_atom_site_label
_atom_site_fract_x
_atom_site_fract_y
_atom_site_fract_z
V1 0.000 0.000 0.107
Cu1 0.000 0.170 0.500
W1 0.250 0.250 0.250
```

Computed properties:
Offset from the most stable computed form, meV per atom: 512

---

# 18
Density functional theory data (GGA-PBE) for a relaxed Hf3ReW crystal.

Cell and atoms, written as CIF:
```
data_Hf3ReW
_chemical_formula_sum 'Hf3 Re1 W1'
_symmetry_space_group_name_H-M 'P m -3 m'
_symmetry_Int_Tables_number 221
_symmetry_space_group_name_Hall '-P 4 2 3'
_cell_length_a 4.923
_cell_length_b 4.923
_cell_length_c 4.923
_cell_angle_alpha 90.00
_cell_angle_beta 90.00
_cell_angle_gamma 90.00
loop_
_atom_site_label
_atom_site_fract_x
_atom_site_fract_y
_atom_site_fract_z
Hf1 0.000 0.000 0.500
Re1 0.000 0.000 0.000
W1 0.500 0.500 0.500
```

Computed properties:
Offset from the most stable computed form, meV per atom: 0

---

Calculated Fermi-level density of states, 0.631 0.671 1.478 0.962 0.575 0.104 0.898 1.161 1.308 0.000 1.173 0.736 0.735 0.379 0.993 1.380 0.954 1.220 states/eV/atom (same order as the records).
Calculated total DFT energy (no corrections), -14.8 -24.0 -99.5 -210.2 -187.6 -85.0 -7.0 -49.6 -37.2 -61.3 -20.1 -70.4 -13.8 -29.9 -91.5 -16.9 -190.9 -49.1 eV/cell (same order as the records).
Calculated density, 3.6 7.8 5.7 15.4 7.1 7.3 3.3 17.8 4.6 4.0 5.6 6.4 5.8 10.5 14.9 6.8 10.7 12.6 g/cm3 (same order as the records).